First-principles (PBE) data for crystalline Pr2AlGe at its relaxed geometry, as listed in Alexandria.

Unit cell a=4.1391 b=6.1600 c=9.1175 alpha=111.65 beta=90.00 gamma=90.00
With the nearest neighbours (Å) after each atom.
Positions (direct):
Ge 0.7500 0.6449 0.7884  2 Al 2.63
Ge 0.2500 0.3551 0.2116  2 Al 2.63
Al 0.7500 0.6388 0.2831  2 Ge 2.63
Al 0.2500 0.3612 0.7169  2 Ge 2.63
Pr 0.7500 0.2141 0.9308  4 Ge 3.15-3.36, 3 Al 3.20-3.31
Pr 0.7500 0.2200 0.4277  3 Ge 3.17-3.36, 4 Al 3.21-3.33
Pr 0.2500 0.7800 0.5723  3 Ge 3.17-3.36, 4 Al 3.21-3.33
Pr 0.2500 0.7859 0.0692  4 Ge 3.15-3.36, 3 Al 3.20-3.31

Calculated values
DFT formation energy: -0.649 eV per atom
Crystal system: monoclinic
Magnetization: 0.0 μB per cell
E: -5.13 eV per atom
Symmetry: P2_1/m, No. 11